Record 1
First-principles (GGA-PBE) data for a relaxed CuHgPd crystal, as listed in the Alexandria database.

Results
E = -0.119 hartree per atom
relative energy among the computed polymorphs = 0.0 meV/atom

Cell: 5.486 5.486 5.486 Å, 147.06 147.06 47.27°
Fractional positions:
Cu: 0.000 0.000 0.000
Hg: 0.669 0.669 0.000
Pd: 0.356 0.356 0.000

***

Record 2
First-principles (GGA-PBE) data for a relaxed ThAl4Ge crystal, as listed in the Alexandria database.

Results
E = -0.170 hartree per atom

Cell: 5.547 5.547 5.547 Å, 60.00 60.00 60.00°
Fractional positions:
Th: 0.000 0.000 0.000
Al: 0.127 0.624 0.624
Al: 0.624 0.127 0.624
Al: 0.624 0.624 0.127
Al: 0.624 0.624 0.624
Ge: 0.250 0.250 0.250

***

Record 3
First-principles (GGA-PBE) data for a relaxed SmEuErSc crystal, as listed in the Alexandria database.

Results
E = -0.232 hartree per atom

Cell: 5.627 5.627 5.627 Å, 60.00 60.00 60.00°
Fractional positions:
Sm: 0.000 0.000 0.000
Eu: 0.500 0.500 0.500
Er: 0.250 0.250 0.250
Sc: 0.750 0.750 0.750

***

Record 4
First-principles (GGA-PBE) data for a relaxed Rb3Hg2F8 crystal, as listed in the Alexandria database.

Results
E = -0.121 hartree per atom

Cell: 8.811 8.811 8.811 Å, 42.67 42.67 42.67°
Fractional positions:
Rb: 0.000 0.000 0.000
Rb: 0.198 0.198 0.198
Rb: 0.802 0.802 0.802
Hg: 0.400 0.400 0.400
Hg: 0.600 0.600 0.600
F: 0.204 0.744 0.744
F: 0.256 0.256 0.796
F: 0.256 0.796 0.256
F: 0.311 0.311 0.311
F: 0.689 0.689 0.689
F: 0.744 0.204 0.744
F: 0.744 0.744 0.204
F: 0.796 0.256 0.256

***

Record 5
First-principles (GGA-PBE) data for a relaxed LaMn3H crystal, as listed in the Alexandria database.

Results
E = -0.163 hartree per atom
relative energy among the computed polymorphs = 2370.1 meV/atom

Cell: 4.450 4.450 4.450 Å, 90.00 90.00 90.00°
Fractional positions:
La: 0.000 0.000 0.000
Mn: 0.000 0.000 0.500
Mn: 0.000 0.500 0.000
Mn: 0.500 0.000 0.000
H: 0.500 0.500 0.500

***

Record 6
First-principles (GGA-PBE) data for a relaxed YZnOs crystal, as listed in the Alexandria database.

Results
E = -0.221 hartree per atom

Cell: 3.395 3.395 6.087 Å, 90.00 90.00 120.00°
Fractional positions:
Y: 0.000 0.000 0.000
Zn: 0.667 0.333 0.397
Os: 0.333 0.667 0.674

***

Record 7
First-principles (GGA-PBE) data for a relaxed Tb2FeCo crystal, as listed in the Alexandria database.

Results
E = -0.205 hartree per atom

Cell: 9.344 9.344 9.344 Å, 20.70 20.70 20.70°
Fractional positions:
Tb: 0.100 0.100 0.100
Tb: 0.900 0.900 0.900
Fe: 0.000 0.000 0.000
Co: 0.500 0.500 0.500

***

Record 8
First-principles (GGA-PBE) data for a relaxed Nb2OsC crystal, as listed in the Alexandria database.

Results
E = -0.358 hartree per atom

Cell: 5.393 5.393 5.393 Å, 105.78 105.78 117.14°
Fractional positions:
Nb: 0.062 0.625 0.937
Nb: 0.375 0.312 0.437
Nb: 0.688 0.125 0.063
Nb: 0.875 0.938 0.563
Os: 0.250 0.750 0.500
Os: 0.500 0.500 0.000
C: 0.000 0.000 0.000
C: 0.750 0.250 0.500

***

Record 9
First-principles (GGA-PBE) data for a relaxed Zr2TcRu crystal, as listed in the Alexandria database.

Results
E = -0.317 hartree per atom

Cell: 5.939 5.939 5.939 Å, 151.85 130.27 58.12°
Fractional positions:
Zr: 0.244 0.244 0.000
Zr: 0.756 0.756 0.000
Tc: 0.500 0.500 0.000
Ru: 0.000 0.000 0.000

***

Record 10
First-principles (GGA-PBE) data for a relaxed CuHg2Ru crystal, as listed in the Alexandria database.

Results
E = -0.111 hartree per atom
relative energy among the computed polymorphs = 82.9 meV/atom

Cell: 4.842 2.978 5.258 Å, 90.00 111.97 90.00°
Fractional positions:
Cu: 0.000 0.000 0.000
Hg: 0.500 0.000 0.500
Hg: 0.500 0.500 0.000
Ru: 0.000 0.500 0.500

***

Record 11
First-principles (GGA-PBE) data for a relaxed PPt2Se crystal, as listed in the Alexandria database.

Results
E = -0.186 hartree per atom
relative energy among the computed polymorphs = 454.2 meV/atom

Cell: 4.496 4.496 3.176 Å, 90.00 90.00 90.00°
Fractional positions:
P: 0.000 0.000 0.000
Pt: 0.000 0.500 0.500
Pt: 0.500 0.000 0.500
Se: 0.500 0.500 0.000

***

Record 12
First-principles (GGA-PBE) data for a relaxed Li3Hg crystal, as listed in the Alexandria database.

Results
E = -0.064 hartree per atom
relative energy among the computed polymorphs = 54.9 meV/atom

Cell: 3.512 3.512 6.021 Å, 90.00 90.00 90.00°
Fractional positions:
Li: 0.000 0.000 0.000
Li: 0.500 0.500 0.268
Li: 0.500 0.500 0.732
Hg: 0.000 0.000 0.500